Entry 1:
Tm2Np2S7: relaxed, PBE.

```
Tm2Np2S7
1.0
-1.9400 6.9205 4.2372
1.9400 -6.9205 4.2372
1.9400 6.9205 -4.2372
Tm Np S
2 2 7
Cartesian
0.0000 0.0000 0.0000
0.0000 6.9205 0.3051
0.0000 3.3661 2.0278
0.0000 10.4750 2.0278
1.9400 1.9203 0.3904
1.9400 -2.5575 3.6867
0.0000 0.0000 2.6887
1.9400 5.4008 1.8668
1.9400 2.5575 3.6867
0.0000 1.5197 6.1040
0.0000 5.0002 4.6275
```

## Properties
**Formation energy without anion corrections**: -1581 meV/atom
**Space-group type**: No. 44
**DOS at the Fermi energy**: 1.71 states/eV per atom
**Crystal system**: orthorhombic
**M_tot**: 5.996 μB/cell
**Calculated volume**: 228 Å³/cell

---

Entry 2:
Sm3ScAs4: relaxed, PBE.

```
Sm3ScAs4
1.0
4.1346 -5.8494 0.0000
4.1346 5.8494 0.0000
0.0000 0.0000 4.1442
Sm Sc As
3 1 4
Cartesian
0.0000 0.0000 0.0000
2.0673 2.9247 2.0721
2.0673 -2.9247 2.0721
4.1346 0.0000 0.0000
4.1346 2.8459 0.0000
2.1770 0.0000 2.0721
6.0922 0.0000 2.0721
4.1346 -2.8459 0.0000
```

## Properties
**Formation energy from the elements**: -1459 meV per atom
**Space-group type**: No. 65
**DOS at the Fermi energy**: 0.09 states/eV per atom
**Crystal system**: orthorhombic
**M_tot**: 0.000 μB/cell
**Calculated volume**: 200 Å³/cell

---

Entry 3:
PaGeRh: relaxed, PBE.

```
PaGeRh
1.0
4.3627 0.0000 0.0000
0.0000 13.8312 0.0000
0.0000 0.0000 7.6221
Pa Ge Rh
8 8 8
Cartesian
1.0907 0.0504 1.6557
1.0907 3.4578 2.2066
1.0907 6.8652 1.6557
1.0907 10.3734 2.1989
3.2720 3.4578 5.4232
3.2720 6.9661 5.9665
3.2720 10.3734 5.4155
3.2720 13.7808 5.9665
1.0907 1.4954 4.4809
1.0907 5.4203 4.4809
1.0907 8.9702 6.9704
1.0907 11.7766 6.9704
3.2720 2.0546 0.6517
3.2720 4.8610 0.6517
3.2720 8.4110 3.1412
3.2720 12.3359 3.1412
1.0907 1.8339 7.0059
1.0907 5.0817 7.0059
1.0907 8.3692 4.4621
1.0907 12.3776 4.4621
3.2720 1.4536 3.1600
3.2720 5.4620 3.1600
3.2720 8.7496 0.6162
3.2720 11.9973 0.6162
```

## Properties
**Formation energy from the elements**: -833 meV per atom
**Space-group type**: No. 59
**DOS at the Fermi energy**: 0.85 states/eV per atom
**Crystal system**: orthorhombic
**M_tot**: 0.000 μB/cell
**Calculated volume**: 460 Å³/cell

---

Entry 4:
YFePd3: relaxed, PBE.

```
YFePd3
1.0
4.6559 0.0000 0.0000
0.0000 4.6559 0.0000
0.0000 0.0000 4.6559
Y Fe Pd
1 1 3
Cartesian
0.0000 0.0000 0.0000
2.3280 2.3280 2.3280
0.0000 2.3280 2.3280
2.3280 0.0000 2.3280
2.3280 2.3280 0.0000
```

## Properties
**Formation energy from the elements**: 3 meV per atom
**Space-group type**: No. 221
**Polymorph energy (0 for the lowest one)**: 0 kJ/mol of formula units
**DOS at the Fermi energy**: 0.98 states/eV per atom
**Crystal system**: cubic
**M_tot**: 3.390 μB/cell
**Calculated volume**: 101 Å³/cell